Computed, not measured: an optimized crystal structure of Sm5TmTh2 at the GGA-PBE level of DFT.

```
8
Lattice="3.464 0.000 -0.689 -0.954 10.209 -4.802 -0.088 -2.226 8.633" Properties=species:S:1:pos:R:3 pbc="T T T"
Sm -0.477 5.105 -2.401
Sm 1.782 3.415 -0.070
Sm 0.640 4.568 3.212
Sm 1.327 8.289 -2.363
Sm 1.095 -0.306 5.505
Tm 0.000 0.000 0.000
Th 0.125 6.593 0.643
Th 2.297 1.390 2.499
```

ΔE_f ... 0.105 eV/atom
VASP energy ... -5.26 eV/atom

=====

Computed, not measured: an optimized crystal structure of AcLaNi2As2 at the GGA-PBE level of DFT.

```
6
Lattice="-3.365 2.471 0.564 -0.175 -3.209 -2.723 -2.694 -5.074 6.153" Properties=species:S:1:pos:R:3 pbc="T T T"
Ac 0.000 0.000 0.000
La -1.347 -2.537 3.076
Ni -3.245 -5.094 2.954
Ni -2.990 -0.719 1.039
As -1.941 -2.639 -0.024
As -4.294 -3.174 4.017
```

ΔE_f ... -1.035 eV/atom
VASP energy ... -6.02 eV/atom

=====

Computed, not measured: an optimized crystal structure of CaAl3S at the GGA-PBE level of DFT.

```
5
Lattice="-4.561 1.633 -0.881 -1.647 -2.488 3.917 0.854 3.923 2.851" Properties=species:S:1:pos:R:3 pbc="T T T"
Ca -2.677 1.534 2.944
S 0.000 0.000 0.000
Al -0.824 -1.244 1.958
Al 0.427 1.961 1.426
Al -2.280 0.817 -0.440
```

Relative energy among the computed polymorphs ... 0.0 meV/atom
VASP energy ... -3.31 eV/atom
Uncorrected formation energy ... 0.1578 eV per atom

=====

Computed, not measured: an optimized crystal structure of RbNp2TlI8 at the GGA-PBE level of DFT.

```
12
Lattice="-4.525 6.391 3.397 0.388 -7.541 3.980 7.397 2.801 4.585" Properties=species:S:1:pos:R:3 pbc="T T T"
Rb 3.698 1.400 2.292
Np -2.254 1.987 3.984
Np 5.513 -0.337 7.978
Tl 0.000 0.000 0.000
I 2.181 3.737 9.491
I 4.587 2.344 6.461
I 3.185 6.209 6.361
I 1.078 -2.087 2.471
I -1.328 -0.693 5.501
I 0.074 -4.558 5.601
I 0.194 2.913 5.501
I 3.066 -1.263 6.461
```

VASP energy ... -4.33 eV/atom
Uncorrected formation energy ... -0.8629 eV per atom

=====

Computed, not measured: an optimized crystal structure of Rb2NdSmO4 at the GGA-PBE level of DFT.

```
8
Lattice="-3.437 -0.907 -0.795 0.487 -5.509 4.177 -1.810 1.808 5.766" Properties=species:S:1:pos:R:3 pbc="T T T"
Rb -1.810 1.808 5.766
Rb -2.624 0.451 2.486
Nd -0.662 -1.850 4.972
Sm -3.285 -1.399 7.457
O -1.075 -2.339 7.317
O -3.685 -2.268 1.832
O -1.876 -3.712 4.002
O -2.884 -0.895 5.146
```

VASP energy ... -6.49 eV/atom
Uncorrected formation energy ... -2.5794 eV per atom

=====

Computed, not measured: an optimized crystal structure of V4CuNi12 at the GGA-PBE level of DFT.

```
17
Lattice="6.030 0.000 -2.132 -3.015 5.223 -2.132 0.000 0.000 6.396" Properties=species:S:1:pos:R:3 pbc="T T T"
V 0.000 0.000 3.198
V 3.015 0.000 -1.066
V 1.508 2.611 1.066
V -1.508 2.611 -1.066
Cu 0.000 0.000 0.000
Ni -0.901 1.561 1.275
Ni -2.114 3.661 2.989
Ni 2.114 3.661 -2.989
Ni 0.901 1.561 -1.275
Ni 1.803 0.000 1.275
Ni 4.227 0.000 2.989
Ni 2.261 1.306 3.198
Ni 0.754 3.917 -1.066
Ni 3.769 1.306 1.066
Ni -0.754 3.917 1.066
Ni 3.015 2.611 -1.066
Ni 0.000 2.611 3.198
```

ΔE_f ... 0.067 eV/atom
VASP energy ... -6.40 eV/atom

=====

Computed, not measured: an optimized crystal structure of BePIrRu at the GGA-PBE level of DFT.

```
4
Lattice="4.055 0.000 0.000 2.027 3.512 0.000 2.027 1.171 3.311" Properties=species:S:1:pos:R:3 pbc="T T T"
Ru 6.082 3.512 2.483
Ir 2.027 1.171 0.828
Be 4.055 2.341 1.655
P 0.000 0.000 0.000
```

ΔE_f ... -0.432 eV/atom
VASP energy ... -7.25 eV/atom

=====

Computed, not measured: an optimized crystal structure of CaTbMgHg at the GGA-PBE level of DFT.

```
4
Lattice="-2.931 4.333 1.177 -5.293 -0.460 0.728 -2.091 0.571 4.905" Properties=species:S:1:pos:R:3 pbc="T T T"
Mg 0.000 0.000 0.000
Ca -2.579 1.111 1.702
Tb -7.736 3.333 5.107
Hg -5.157 2.222 3.405
```

ΔE_f ... -0.285 eV/atom
Relative energy among the computed polymorphs ... 18.1 meV/atom
VASP energy ... -2.42 eV/atom